[1]
First-principles (PBE-GGA) data for a relaxed Li2H3Rh2 crystal, as listed in Alexandria via LeMat-Bulk.

Lattice parameters (Å, degrees): 2.8252 4.6468 5.0417 98.09 105.66 90.38
Space group P-1 (No. 2)
One atom of each set of equivalent atoms:
Li 0.1234 0.3808 0.2365 x2
H 0.0000 0.0000 0.0000 x1
H 0.2233 0.7880 0.4466 x2
Rh 0.3674 0.1121 0.7495 x2

Electronic total energy, eV/atom: -4.3394

***

[2]
First-principles (PBE-GGA) data for a relaxed LiH2Rh2 crystal, as listed in Alexandria via LeMat-Bulk.

Lattice parameters (Å, degrees): 5.4586 5.4586 2.9529 90.00 90.00 90.00
Space group P4/mbm (No. 127)
One atom of each set of equivalent atoms:
Li 0.0000 0.0000 0.0000 x2
H 0.1908 0.3092 0.0000 x4
Rh 0.1749 0.6749 0.5000 x4

Distance to the lowest polymorph of the same formula, meV/atom: 15

***

[3]
First-principles (PBE-GGA) data for a relaxed LiH6Rh4 crystal, as listed in Alexandria via LeMat-Bulk.

Lattice parameters (Å, degrees): 2.7948 11.1406 5.8519 90.00 103.79 90.00
Space group P2_1/m (No. 11)
One atom of each set of equivalent atoms:
Li 0.2249 0.2500 0.4485 x2
H 0.0000 0.0000 0.0000 x2
H 0.0383 0.2500 0.0863 x2
H 0.3032 0.6304 0.6083 x4
H 0.3788 0.1524 0.7587 x4
Rh 0.1692 0.5595 0.3375 x4
Rh 0.4577 0.6248 0.9198 x4

Electronic total energy, eV/atom: -4.7618

***

[4]
First-principles (PBE-GGA) data for a relaxed LiH5Rh2 crystal, as listed in Alexandria via LeMat-Bulk.

Lattice parameters (Å, degrees): 2.8935 4.6198 9.0318 90.00 90.00 90.00
Space group Immm (No. 71)
One atom of each set of equivalent atoms:
Li 0.0000 0.0000 0.0000 x2
H 0.0000 0.2314 0.3477 x8
H 0.0000 0.5000 0.0000 x2
Rh 0.0000 0.5000 0.1876 x4

Electronic total energy, eV/atom: -4.3470

***

[5]
First-principles (PBE-GGA) data for a relaxed LiH3Rh crystal, as listed in Alexandria via LeMat-Bulk.

Lattice parameters (Å, degrees): 3.2015 3.2015 7.7667 90.00 90.00 120.00
Space group P6_3/mmc (No. 194)
One atom of each set of equivalent atoms:
Li 0.3333 0.6667 0.2500 x2
H 0.0000 0.0000 0.2500 x2
H 0.3333 0.6667 0.5553 x4
Rh 0.0000 0.0000 0.0000 x2

Electronic total energy, eV/atom: -4.0976

***

[6]
First-principles (PBE-GGA) data for a relaxed Li3H4Rh crystal, as listed in Alexandria via LeMat-Bulk.

Lattice parameters (Å, degrees): 3.8840 3.8840 8.0493 90.00 90.00 90.00
Space group I4/mmm (No. 139)
One atom of each set of equivalent atoms:
Li 0.0000 0.0000 0.0000 x2
Li 0.0000 0.5000 0.2500 x4
H 0.0000 0.0000 0.2864 x4
H 0.0000 0.5000 0.0000 x4
Rh 0.0000 0.0000 0.5000 x2

Distance to the lowest polymorph of the same formula, meV/atom: 0

***

In Bohr magnetons per cell, the magnetic moment values for the records above are, in order, 0.00, 0.00, 0.00, 0.00, 0.00, 0.00.